1.
First-principles (PBE-GGA) data for a relaxed structure of Sn3AsF, as listed in Alexandria via LeMat-Bulk.

Calculated values
The energy relative to the elements, uncorrected comes out at -0.21 eV/atom. As for the space group: Pm-3m (221).

Unit cell a=4.9908 b=4.9908 c=4.9908 alpha=90.00 beta=90.00 gamma=90.00
Closest atoms and distances in Å follow each position.
Element x y z (fractional)
As 0.5000 0.5000 0.5000  12 Sn 3.53
Sn 0.0000 0.5000 0.0000  2 F 2.50
Sn 0.0000 0.0000 0.5000  2 F 2.50
Sn 0.5000 0.0000 0.0000  2 F 2.50
F 0.0000 0.0000 0.0000  6 Sn 2.50

=====

2.
First-principles (PBE-GGA) data for a relaxed structure of Tb2Nd6HoEr3, as listed in Alexandria via LeMat-Bulk.

Calculated values
As for the space group: C2/m (12). As for the formation energy from the elements: 0.012 eV/atom.

Unit cell a=6.2612 b=6.2612 c=11.8258 alpha=95.05 beta=95.05 gamma=120.00
Closest atoms and distances in Å follow each position.
Element x y z (fractional)
Tb 0.3333 0.6667 0.0000  6 Nd 3.59, 3 Tb 3.61-3.62, 3 Ho 3.61-3.62
Tb 0.6667 0.3333 0.0000  6 Nd 3.59, 3 Tb 3.61-3.62, 3 Ho 3.61-3.62
Nd 0.9160 0.5829 0.7489  3 Er 3.57, 2 Tb 3.59, 1 Ho 3.59, 6 Nd 3.61-3.62
Nd 0.7508 0.7508 0.2513  3 Er 3.57, 1 Ho 3.59, 2 Tb 3.59, 6 Nd 3.61-3.62
Nd 0.0840 0.4171 0.2511  3 Er 3.57, 2 Tb 3.59, 1 Ho 3.59, 6 Nd 3.61-3.62
Nd 0.5829 0.9160 0.7489  3 Er 3.57, 2 Tb 3.59, 1 Ho 3.59, 6 Nd 3.61-3.62
Nd 0.2492 0.2492 0.7487  3 Er 3.57, 1 Ho 3.59, 2 Tb 3.59, 6 Nd 3.61-3.62
Nd 0.4171 0.0840 0.2511  3 Er 3.57, 2 Tb 3.59, 1 Ho 3.59, 6 Nd 3.61-3.62
Ho 0.0000 0.0000 0.0000  6 Nd 3.59, 6 Tb 3.61-3.62
Er 0.1667 0.8333 0.5000  6 Nd 3.57, 6 Er 3.61-3.62
Er 0.8333 0.1667 0.5000  6 Nd 3.57, 6 Er 3.61-3.62
Er 0.5000 0.5000 0.5000  6 Nd 3.57, 6 Er 3.61-3.62

=====

3.
First-principles (PBE-GGA) data for a relaxed structure of CaTiWBr2, as listed in Alexandria via LeMat-Bulk.

Calculated values
The energy relative to the elements, uncorrected comes out at 0.92 eV/atom. As for the space group: P4/mmm (123).

Unit cell a=4.9612 b=4.9612 c=7.0207 alpha=90.00 beta=90.00 gamma=90.00
Closest atoms and distances in Å follow each position.
Element x y z (fractional)
Ca 0.0000 0.0000 0.5000  4 W 3.51, 2 Ti 3.51
Br 0.0000 0.5000 0.0000  2 Ti 2.48
Br 0.5000 0.0000 0.0000  2 Ti 2.48
W 0.5000 0.5000 0.5000  4 Ca 3.51
Ti 0.0000 0.0000 0.0000  4 Br 2.48

=====

4.
First-principles (PBE-GGA) data for a relaxed structure of SrTbNd14, as listed in Alexandria via LeMat-Bulk.

Calculated values
As for the space group: P4/mmm (123). As for the formation energy from the elements: 0.044 eV/atom.

Unit cell a=7.4245 b=7.4245 c=10.3944 alpha=90.00 beta=90.00 gamma=90.00
Closest atoms and distances in Å follow each position.
Element x y z (fractional)
Sr 0.8750 0.8750 0.5000  12 Nd 3.71-3.77
Tb 0.3750 0.3750 0.5000  12 Nd 3.68-3.71
Nd 0.8750 0.8750 0.0000  12 Nd 3.71
Nd 0.3750 0.3750 0.0000  12 Nd 3.62-3.71
Nd 0.8750 0.3750 0.5000  2 Tb 3.71, 2 Sr 3.71, 8 Nd 3.72
Nd 0.8750 0.3750 0.0000  12 Nd 3.67-3.71
Nd 0.3750 0.8750 0.5000  2 Tb 3.71, 2 Sr 3.71, 8 Nd 3.72
Nd 0.3750 0.8750 0.0000  12 Nd 3.67-3.71
Nd 0.6189 0.1311 0.2462  10 Nd 3.62-3.80, 1 Tb 3.68, 1 Sr 3.77
Nd 0.6189 0.1311 0.7538  10 Nd 3.62-3.80, 1 Tb 3.68, 1 Sr 3.77
Nd 0.1311 0.6189 0.2462  10 Nd 3.62-3.80, 1 Tb 3.68, 1 Sr 3.77
Nd 0.1311 0.6189 0.7538  10 Nd 3.62-3.80, 1 Tb 3.68, 1 Sr 3.77
Nd 0.6189 0.6189 0.2462  10 Nd 3.62-3.80, 1 Tb 3.68, 1 Sr 3.77
Nd 0.6189 0.6189 0.7538  10 Nd 3.62-3.80, 1 Tb 3.68, 1 Sr 3.77
Nd 0.1312 0.1312 0.2462  10 Nd 3.62-3.80, 1 Tb 3.68, 1 Sr 3.77
Nd 0.1312 0.1312 0.7538  10 Nd 3.62-3.80, 1 Tb 3.68, 1 Sr 3.77

=====

5.
First-principles (PBE-GGA) data for a relaxed structure of Pr2AlCu2, as listed in Alexandria via LeMat-Bulk.

Calculated values
As for the space group: C2/c (15). As for the formation energy from the elements: -0.273 eV/atom.

Unit cell a=5.7629 b=5.7629 c=7.9207 alpha=77.88 beta=77.88 gamma=60.26
Closest atoms and distances in Å follow each position.
Element x y z (fractional)
Pr 0.4869 0.2129 0.1528  6 Cu 3.07-3.15, 3 Al 3.38-3.43
Pr 0.7871 0.5131 0.3472  6 Cu 3.07-3.15, 3 Al 3.38-3.43
Pr 0.5131 0.7871 0.8472  6 Cu 3.07-3.15, 3 Al 3.38-3.43
Pr 0.2129 0.4869 0.6528  6 Cu 3.07-3.15, 3 Al 3.38-3.43
Al 0.1422 0.8578 0.2500  4 Cu 2.63
Al 0.8578 0.1422 0.7500  4 Cu 2.63
Cu 0.7352 0.0008 0.4994  2 Al 2.63, 1 Cu 2.71
Cu 0.9992 0.2648 0.0006  2 Al 2.63, 1 Cu 2.71
Cu 0.2648 0.9992 0.5006  2 Al 2.63, 1 Cu 2.71
Cu 0.0008 0.7352 0.9994  2 Al 2.63, 1 Cu 2.71

=====

6.
First-principles (PBE-GGA) data for a relaxed structure of CaSc3F, as listed in Alexandria via LeMat-Bulk.

Calculated values
The energy relative to the elements, uncorrected comes out at -0.68 eV/atom. As for the space group: Pm-3m (221).

Unit cell a=4.8264 b=4.8264 c=4.8264 alpha=90.00 beta=90.00 gamma=90.00
Closest atoms and distances in Å follow each position.
Element x y z (fractional)
Sc 0.0000 0.5000 0.0000  2 F 2.41
Sc 0.0000 0.0000 0.5000  2 F 2.41
Sc 0.5000 0.0000 0.0000  2 F 2.41
Ca 0.5000 0.5000 0.5000  12 Sc 3.41
F 0.0000 0.0000 0.0000  6 Sc 2.41

=====

7.
First-principles (PBE-GGA) data for a relaxed structure of HoGeW, as listed in Alexandria via LeMat-Bulk.

Calculated values
As for the space group: P4/nmm (129). As for the formation energy from the elements: -0.399 eV/atom.

Unit cell a=3.9182 b=3.9182 c=7.7292 alpha=90.00 beta=90.00 gamma=90.00
Closest atoms and distances in Å follow each position.
Element x y z (fractional)
Ho 0.0000 0.5000 0.8553  5 Ge 2.90-3.10
Ho 0.5000 0.0000 0.1447  5 Ge 2.90-3.10
Ge 0.0000 0.5000 0.2568  4 W 2.72, 4 Ho 2.90
Ge 0.5000 0.0000 0.7432  4 W 2.72, 4 Ho 2.90
W 0.5000 0.5000 0.5000  4 Ge 2.72, 4 W 2.77
W 0.0000 0.0000 0.5000  4 Ge 2.72, 4 W 2.77

=====

8.
First-principles (PBE-GGA) data for a relaxed structure of Pr2Tl2Pt15, as listed in Alexandria via LeMat-Bulk.

Calculated values
As for the space group: R-3m (166). As for the formation energy from the elements: -0.417 eV/atom.

Unit cell a=7.0988 b=7.0988 c=7.0988 alpha=84.23 beta=84.23 gamma=84.23
Closest atoms and distances in Å follow each position.
Element x y z (fractional)
Pr 0.3550 0.3550 0.3550  12 Pt 3.22-3.35, 1 Tl 3.35
Pr 0.6450 0.6450 0.6450  12 Pt 3.22-3.35, 1 Tl 3.35
Tl 0.1061 0.1061 0.1061  1 Tl 2.86, 6 Pt 2.87-2.95
Tl 0.8939 0.8939 0.8939  1 Tl 2.86, 6 Pt 2.87-2.95
Pt 0.5000 0.0000 0.0000  8 Pt 2.73-2.78, 2 Tl 2.87
Pt 0.0000 0.0000 0.5000  8 Pt 2.73-2.78, 2 Tl 2.87
Pt 0.0000 0.5000 0.0000  8 Pt 2.73-2.78, 2 Tl 2.87
Pt 0.0000 0.6744 0.3256  6 Pt 2.73-2.78
Pt 0.6744 0.3256 0.0000  6 Pt 2.73-2.78
Pt 0.3256 0.0000 0.6744  6 Pt 2.73-2.78
Pt 0.3256 0.6744 0.0000  6 Pt 2.73-2.78
Pt 0.6744 0.0000 0.3256  6 Pt 2.73-2.78
Pt 0.0000 0.3256 0.6744  6 Pt 2.73-2.78
Pt 0.1712 0.6585 0.6585  8 Pt 2.68-2.78, 1 Tl 2.95
Pt 0.6585 0.6585 0.1712  8 Pt 2.68-2.78, 1 Tl 2.95
Pt 0.6585 0.1712 0.6585  8 Pt 2.68-2.78, 1 Tl 2.95
Pt 0.8288 0.3415 0.3415  8 Pt 2.68-2.78, 1 Tl 2.95
Pt 0.3415 0.3415 0.8288  8 Pt 2.68-2.78, 1 Tl 2.95
Pt 0.3415 0.8288 0.3415  8 Pt 2.68-2.78, 1 Tl 2.95

=====

Please write out number 1 again, unchanged.
First-principles (PBE-GGA) data for a relaxed structure of Sn3AsF, as listed in Alexandria via LeMat-Bulk.

Calculated values
The energy relative to the elements, uncorrected comes out at -0.21 eV/atom. As for the space group: Pm-3m (221).

Unit cell a=4.9908 b=4.9908 c=4.9908 alpha=90.00 beta=90.00 gamma=90.00
Closest atoms and distances in Å follow each position.
Element x y z (fractional)
As 0.5000 0.5000 0.5000  12 Sn 3.53
Sn 0.0000 0.5000 0.0000  2 F 2.50
Sn 0.0000 0.0000 0.5000  2 F 2.50
Sn 0.5000 0.0000 0.0000  2 F 2.50
F 0.0000 0.0000 0.0000  6 Sn 2.50

=====

> What is the formula in the eighth record?

Pr2Tl2Pt15